# SrEr2Th | the Alexandria database | GGA-PBE | relaxed
data_SrEr2Th
_chemical_formula_sum 'Sr1 Er2 Th1'
_cell_length_a 12.762
_cell_length_b 12.762
_cell_length_c 12.762
_cell_angle_alpha 16.23
_cell_angle_beta 16.23
_cell_angle_gamma 16.23
_space_group_name_H-M_alt 'P 1'
_space_group_IT_number 1
loop_
_space_group_symop_operation_xyz
'x,y,z'
loop_
_atom_site_label
_atom_site_fract_x
_atom_site_fract_y
_atom_site_fract_z
_atom_site_occupancy
Sr1 0.000 0.000 0.000 1
Er1 0.094 0.094 0.094 1
Er2 0.906 0.906 0.906 1
Th1 0.500 0.500 0.500 1
# Energy relative to the lowest polymorph listed for this composition   108 meV/atom
# Formation energy   20 kJ/mol of atoms
# Energy   -4.351 eV per atom
# Space-group type   R-3m